Record 1
Computed, not measured: an optimized crystal structure of BaFePb4 at the GGA-PBE level of DFT.

Summary:
* total moment: 13.49 μB per cell
* VASP energy: -3.880 eV per atom

Cell lengths 9.257, 9.257, 9.257 Å; angles 90.00, 90.00, 90.00 degrees
Space group F-43m (No. 216)
One atom of each set of equivalent atoms:
Ba  0.000  0.000  0.000 [4 per cell]
Fe  0.250  0.250  0.750 [4 per cell]
Pb  0.125  0.125  0.375 [16 per cell]

---

Record 2
Computed, not measured: an optimized crystal structure of BaFePb2 at the GGA-PBE level of DFT.

Summary:
* total moment: 2.60 μB per cell
* VASP energy: -4.209 eV per atom

Cell lengths 3.825, 3.825, 8.166 Å; angles 90.00, 90.00, 90.00 degrees
Space group P4mm (No. 99)
One atom of each set of equivalent atoms:
Ba  0.000  0.000  0.000 [1 per cell]
Fe  0.500  0.500  0.675 [1 per cell]
Pb  0.000  0.000  0.578 [1 per cell]
Pb  0.500  0.500  0.317 [1 per cell]